Entry 1:
DyGaPt2 PBE relaxed; total magnetic moment = 0.0 μB/f.u.; final energy = -191.687 eV per cell; energy of formation from the pure elements = -1.063 eV per atom; SG = No. 62
1.0
5.5616 0.0000 0.0000
0.0000 7.2347 0.0000
0.0000 0.0000 14.5893
Dy Ga Pt
8 8 16
Direct
0.4949 0.2500 0.1372
0.9949 0.7500 0.3628
0.5051 0.7500 0.8628
0.0051 0.2500 0.6372
0.7626 0.2500 0.3878
0.2626 0.7500 0.1122
0.2374 0.7500 0.6122
0.7374 0.2500 0.8878
0.2558 0.2500 0.3186
0.7558 0.7500 0.1814
0.7442 0.7500 0.6814
0.2442 0.2500 0.8186
0.9870 0.2500 0.0670
0.4870 0.7500 0.4330
0.0130 0.7500 0.9330
0.5130 0.2500 0.5670
0.9723 0.0531 0.2161
0.4723 0.9469 0.2839
0.0277 0.5531 0.7839
0.5277 0.4469 0.7161
0.0277 0.9469 0.7839
0.5277 0.0531 0.7161
0.9723 0.4469 0.2161
0.4723 0.5531 0.2839
0.7351 0.5487 0.0329
0.2351 0.4513 0.4671
0.2649 0.0487 0.9671
0.7649 0.9513 0.5329
0.2649 0.4513 0.9671
0.7649 0.5487 0.5329
0.7351 0.9513 0.0329
0.2351 0.0487 0.4671

Entry 2:
DyGa4Pt PBE relaxed; total magnetic moment = 0.0 μB/f.u.; final energy = -48.283 eV per cell; energy of formation from the pure elements = -0.232 eV per atom; SG = No. 137
1.0
-1.4155 -4.7531 -1.0351
-0.6573 -0.8812 4.9456
-9.6009 3.0200 -0.7379
Dy Ga Pt
2 8 2
Direct
0.0000 0.0000 0.5000
0.5000 0.5000 0.0000
0.2569 0.0000 0.2090
0.7431 0.0000 0.2090
0.0000 0.7431 0.7910
0.0000 0.2569 0.7910
0.5000 0.2431 0.7090
0.7569 0.5000 0.2910
0.2431 0.5000 0.2910
0.5000 0.7569 0.7090
0.0000 0.0000 0.0000
0.5000 0.5000 0.5000

Entry 3:
Dy3Ga6Pt5 PBE relaxed; total magnetic moment = 0.0 μB/f.u.; final energy = -151.620 eV per cell; energy of formation from the pure elements = -0.974 eV per atom; SG = No. 59
1.0
-0.3452 1.0716 4.1447
-9.2732 0.5787 -0.9220
-1.0764 -12.3189 3.0953
Dy Ga Pt
6 12 10
Direct
0.0000 0.2511 0.7003
0.5000 0.7489 0.2003
0.5000 0.7489 0.7997
0.0000 0.2531 0.0000
0.5000 0.7469 0.5000
0.0000 0.2511 0.2997
0.0000 0.9767 0.8459
0.5000 0.0233 0.6541
0.5000 0.4048 0.8208
0.5000 0.5803 0.0000
0.0000 0.4197 0.5000
0.0000 0.5952 0.6792
0.0000 0.5952 0.3208
0.5000 0.9526 0.0000
0.0000 0.9767 0.1541
0.5000 0.4048 0.1792
0.0000 0.0474 0.5000
0.5000 0.0233 0.3459
0.0000 0.5313 0.8821
0.0000 0.8700 0.6536
0.0000 0.7916 0.0000
0.5000 0.4687 0.6179
0.5000 0.2084 0.5000
0.0000 0.5313 0.1179
0.5000 0.4687 0.3821
0.0000 0.8700 0.3464
0.5000 0.1300 0.8464
0.5000 0.1300 0.1536

Entry 4:
Dy2GaPt5 PBE relaxed; total magnetic moment = 0.0 μB/f.u.; final energy = -50.360 eV per cell; energy of formation from the pure elements = -0.991 eV per atom; SG = No. 107
1.0
-5.2934 -2.5247 -0.5252
4.3903 -1.6331 -3.5677
3.3464 -1.1647 4.7026
Dy Ga Pt
2 1 5
Direct
0.5000 0.2645 0.7645
0.5000 0.7645 0.2645
0.0000 0.8488 0.8488
0.4817 0.7605 0.7605
0.0000 0.7605 0.2788
0.0000 0.2788 0.7605
0.5183 0.2788 0.2788
0.0000 0.2658 0.2658

Entry 5:
Dy3Ga5Pt6 PBE relaxed; total magnetic moment = 0.0 μB/f.u.; final energy = -157.464 eV per cell; energy of formation from the pure elements = -0.968 eV per atom; SG = No. 59
1.0
-0.5326 -1.5439 3.9813
-1.0318 -8.2666 -3.3439
13.1078 -2.0274 0.9672
Dy Ga Pt
6 10 12
Direct
0.0000 0.2445 0.6888
0.5000 0.7555 0.1888
0.5000 0.7555 0.8112
0.0000 0.2351 0.0000
0.5000 0.7649 0.5000
0.0000 0.2445 0.3112
0.0000 0.5224 0.8779
0.0000 0.8838 0.6732
0.0000 0.7689 0.0000
0.5000 0.4776 0.6221
0.5000 0.2311 0.5000
0.0000 0.5224 0.1221
0.5000 0.4776 0.3779
0.0000 0.8838 0.3268
0.5000 0.1162 0.8268
0.5000 0.1162 0.1732
0.0000 0.9750 0.8634
0.5000 0.0250 0.6366
0.5000 0.3957 0.8095
0.5000 0.5636 0.0000
0.0000 0.4364 0.5000
0.0000 0.6043 0.6905
0.0000 0.6043 0.3095
0.5000 0.9817 0.0000
0.0000 0.9750 0.1366
0.5000 0.3957 0.1905
0.0000 0.0183 0.5000
0.5000 0.0250 0.3634

Entry 6:
DyGa2Pt PBE relaxed; total magnetic moment = 0.0 μB/f.u.; final energy = -19.925 eV per cell; energy of formation from the pure elements = -0.807 eV per atom; SG = No. 166
1.0
-0.1069 -2.2535 -3.6144
-2.8586 -3.1228 -0.4797
-4.1905 1.4335 -3.2811
Ga Pt Dy
2 1 1
Direct
0.2803 0.2803 0.1591
0.7197 0.7197 0.8409
0.0000 0.0000 0.0000
0.5000 0.5000 0.5000

Entry 7:
Dy7Ga2Pt2 PBE relaxed; total magnetic moment = 0.0 μB/f.u.; final energy = -56.473 eV per cell; energy of formation from the pure elements = -0.557 eV per atom; SG = No. 65
1.0
-6.4671 -1.3240 -1.3197
0.2350 -5.4773 4.3479
0.1870 4.1881 5.2672
Dy Ga Pt
7 2 2
Direct
0.0001 0.2625 0.4999
0.4999 0.7375 0.0001
0.9999 0.7375 0.5001
0.5001 0.2625 0.9999
0.0000 0.0000 0.0000
0.4999 0.7430 0.5001
0.5001 0.2570 0.4999
0.8343 0.5000 0.8343
0.1657 0.5000 0.1657
0.7097 0.0000 0.2903
0.2903 0.0000 0.7097

Entry 8:
Dy2Ga3Pt4 PBE relaxed; total magnetic moment = 0.0 μB/f.u.; final energy = -103.488 eV per cell; energy of formation from the pure elements = -1.033 eV per atom; SG = No. 64
1.0
5.6086 0.0000 0.0000
0.0000 7.6173 0.0000
-2.8043 0.0000 7.6510
Dy Ga Pt
4 6 8
Direct
0.1067 0.5915 0.2135
0.8933 0.4085 0.7865
0.3933 0.0915 0.7865
0.6067 0.9085 0.2135
0.0000 0.0000 0.0000
0.5000 0.5000 0.0000
0.5195 0.7500 0.5389
0.9805 0.2500 0.4611
0.4805 0.2500 0.4611
0.0195 0.7500 0.5389
0.6907 0.7500 0.8814
0.8093 0.2500 0.1186
0.3093 0.2500 0.1186
0.1907 0.7500 0.8814
0.1808 0.9750 0.3616
0.8192 0.0250 0.6384
0.3192 0.4750 0.6384
0.6808 0.5250 0.3616

Entry 9:
DyGaPt2 PBE relaxed; total magnetic moment = 0.0 μB/f.u.; final energy = -23.105 eV per cell; energy of formation from the pure elements = -0.849 eV per atom; SG = No. 123
1.0
-0.0768 -3.5393 1.1229
0.1374 -1.3478 -4.2390
4.4472 -0.0461 0.1588
Ga Pt Dy
1 2 1
Direct
0.5000 0.5000 0.5000
0.0000 0.0000 0.5000
0.0000 0.5000 0.0000
0.5000 0.0000 0.0000

Entry 10:
DyGa12Pt6 PBE relaxed; total magnetic moment = 0.0 μB/f.u.; final energy = -87.679 eV per cell; energy of formation from the pure elements = -0.553 eV per atom; SG = No. 166
1.0
-3.4976 -3.6388 -5.1650
-2.1252 -3.0910 6.1710
-3.1018 6.5212 0.0604
Dy Ga Pt
1 12 6
Direct
0.0000 0.0000 0.0000
0.8889 0.1111 0.5000
0.8585 0.6076 0.6076
0.6076 0.6076 0.8585
0.3924 0.1415 0.3924
0.3924 0.3924 0.1415
0.1415 0.3924 0.3924
0.1111 0.5000 0.8889
0.5000 0.8889 0.1111
0.1111 0.8889 0.5000
0.8889 0.5000 0.1111
0.5000 0.1111 0.8889
0.6076 0.8585 0.6076
0.7146 0.2842 0.2842
0.2842 0.2842 0.7146
0.2842 0.7146 0.2842
0.7158 0.7158 0.2854
0.2854 0.7158 0.7158
0.7158 0.2854 0.7158

Entry 11:
Dy3Ga7Pt4 PBE relaxed; total magnetic moment = 0.0 μB/f.u.; final energy = -71.661 eV per cell; energy of formation from the pure elements = -0.893 eV per atom; SG = No. 12
1.0
4.1655 0.0000 1.0509
1.5133 7.5720 2.7828
0.1157 0.1865 8.3229
Dy Ga Pt
3 7 4
Direct
0.3072 0.1878 0.1979
0.6928 0.8122 0.8021
0.0000 0.5000 0.5000
0.3205 0.8250 0.5341
0.5003 0.2083 0.7911
0.8451 0.3811 0.9288
0.6795 0.1750 0.4659
0.1549 0.6189 0.0712
0.0000 0.0000 0.0000
0.4997 0.7917 0.2089
0.6565 0.4686 0.2184
0.3435 0.5314 0.7816
0.8769 0.8960 0.3503
0.1231 0.1040 0.6497

Entry 12:
Dy4Ga12Pt PBE relaxed; total magnetic moment = 0.0 μB/f.u.; final energy = -71.546 eV per cell; energy of formation from the pure elements = -0.634 eV per atom; SG = No. 229
1.0
-1.4619 7.2943 -0.6119
-6.1903 -3.6118 2.0865
5.3355 -1.0479 5.1140
Dy Ga Pt
4 12 1
Direct
0.5000 0.5000 0.5000
0.0000 0.0000 0.5000
0.0000 0.5000 0.0000
0.5000 0.0000 0.0000
0.0000 0.2969 0.2969
0.0000 0.7031 0.7031
0.2969 0.0000 0.2969
0.7031 0.0000 0.7031
0.2969 0.2969 0.0000
0.7031 0.7031 0.0000
0.5000 0.7500 0.2500
0.5000 0.2500 0.7500
0.2500 0.5000 0.7500
0.7500 0.5000 0.2500
0.7500 0.2500 0.5000
0.2500 0.7500 0.5000
0.0000 0.0000 0.0000

> Which value of energy of formation from the pure elements does entry 10 give?

-0.553 eV per atom

> What is the formula in the first record?

DyGaPt2